DFT (PBE-GGA) results for crystalline Sc2Bi2Au at its relaxed geometry.

Calculated values
ΔE to the lowest computed polymorph = 122 meV/atom

Structure (POSCAR):
```
Sc2Bi2Au
1.0
3.108 -3.108 0.000
3.108 3.108 0.000
-3.108 0.000 6.688
Au Bi Sc
1 2 2
Direct
0.000 0.000 0.000
0.750 0.250 0.500
0.250 0.750 0.500
0.598 0.598 0.197
0.402 0.402 0.803
```